Cd9In2Hg: optimized geometry, GGA-PBE.

## Properties
- space-group type = P4/mmm
- total energy (eV for the cell shown) = -13.6
- energy relative to the lowest polymorph listed for this composition (meV/atom) = 0
- volume (Å³/cell) = 280

a = 4.5314 Å, b = 4.5314 Å, c = 13.6189 Å
α = 90.00°, β = 90.00°, γ = 90.00°
Fractional coordinates of all 12 atoms:
Cd 0.5000 0.5000 0.0000
Cd 0.0000 0.5000 0.1641
Cd 0.5000 0.5000 0.6670
Cd 0.5000 0.0000 0.5000
Cd 0.0000 0.5000 0.8359
Cd 0.0000 0.5000 0.5000
Cd 0.5000 0.0000 0.8359
Cd 0.5000 0.0000 0.1641
Cd 0.5000 0.5000 0.3330
Hg 0.0000 0.0000 0.0000
In 0.0000 0.0000 0.3298
In 0.0000 0.0000 0.6702

=====

CdIn4Hg: optimized geometry, GGA-PBE.

## Properties
- space-group type = P4/mmm
- total energy (eV for the cell shown) = -11.9
- energy relative to the lowest polymorph listed for this composition (meV/atom) = 30
- volume (Å³/cell) = 171

a = 4.7714 Å, b = 4.7716 Å, c = 7.5277 Å
α = 89.99°, β = 89.98°, γ = 90.00°
Fractional coordinates of all 6 atoms:
In 0.5014 0.9972 0.2482
In 0.0012 0.4972 0.2483
In 0.0014 0.4972 0.7480
In 0.5013 0.9974 0.7481
Cd 0.0014 0.9972 0.4981
Hg 0.5012 0.4974 0.9981

=====

Cd5InHg10: optimized geometry, GGA-PBE.

## Properties
- space-group type = I422
- total energy (eV for the cell shown) = -9.8
- volume (Å³/cell) = 413

a = 6.0972 Å, b = 8.7732 Å, c = 8.7732 Å
α = 83.06°, β = 69.66°, γ = 69.67°
Fractional coordinates of all 16 atoms:
Cd 0.0797 0.5000 0.8406
Cd 0.4203 0.5000 0.1594
Cd 0.5000 0.0000 0.0000
Cd 0.9203 0.1594 0.5000
Cd 0.5797 0.8406 0.5000
Hg 0.4821 0.6946 0.8441
Hg 0.0208 0.3054 0.1559
Hg 0.6738 0.3054 0.8441
Hg 0.3262 0.1559 0.6946
Hg 0.9792 0.8441 0.6946
Hg 0.8233 0.6946 0.1559
Hg 0.5179 0.1559 0.3054
Hg 0.5000 0.5000 0.5000
Hg 0.1767 0.8441 0.3054
Hg 0.0000 0.5000 0.5000
In 0.0000 0.0000 0.0000

=====

CdIn8Hg5: optimized geometry, GGA-PBE.

## Properties
- space-group type = I-4
- total energy (eV for the cell shown) = -24.0
- energy relative to the lowest polymorph listed for this composition (meV/atom) = 0
- volume (Å³/cell) = 379

a = 7.8961 Å, b = 7.8961 Å, c = 7.8961 Å
α = 108.73°, β = 110.96°, γ = 108.73°
Fractional coordinates of all 14 atoms:
In 0.7865 0.2513 0.3802
In 0.2845 0.2511 0.3757
In 0.6243 0.9089 0.8754
In 0.6198 0.4063 0.8711
In 0.1289 0.7487 0.5352
In 0.9666 0.0911 0.7155
In 0.1246 0.7489 0.0334
In 0.4648 0.5937 0.2135
Hg 0.7521 0.6294 0.6234
Hg 0.3766 0.1287 0.0060
Hg 0.8773 0.8713 0.2479
Hg 0.5000 0.0000 0.5000
Hg 0.9940 0.3706 0.1227
Cd 0.2500 0.5000 0.7500

=====

Copy entry 3 word for word.
Cd5InHg10: optimized geometry, GGA-PBE.

## Properties
- space-group type = I422
- total energy (eV for the cell shown) = -9.8
- volume (Å³/cell) = 413

a = 6.0972 Å, b = 8.7732 Å, c = 8.7732 Å
α = 83.06°, β = 69.66°, γ = 69.67°
Fractional coordinates of all 16 atoms:
Cd 0.0797 0.5000 0.8406
Cd 0.4203 0.5000 0.1594
Cd 0.5000 0.0000 0.0000
Cd 0.9203 0.1594 0.5000
Cd 0.5797 0.8406 0.5000
Hg 0.4821 0.6946 0.8441
Hg 0.0208 0.3054 0.1559
Hg 0.6738 0.3054 0.8441
Hg 0.3262 0.1559 0.6946
Hg 0.9792 0.8441 0.6946
Hg 0.8233 0.6946 0.1559
Hg 0.5179 0.1559 0.3054
Hg 0.5000 0.5000 0.5000
Hg 0.1767 0.8441 0.3054
Hg 0.0000 0.5000 0.5000
In 0.0000 0.0000 0.0000